First-principles (PBE-GGA) data for a relaxed structure of Co2Si2Ge, as listed in the Alexandria database.

POSCAR file:
```
Co2Si2Ge
1.0
3.877 0.000 0.000
0.000 3.877 0.000
0.000 0.000 9.362
Co Si Ge
4 4 2
Cartesian
0.000 1.939 2.340 Co
0.000 1.939 7.021 Co
1.939 0.000 2.340 Co
1.939 0.000 7.021 Co
0.000 0.000 1.183 Si
0.000 0.000 8.179 Si
1.939 1.939 3.498 Si
1.939 1.939 5.864 Si
0.000 0.000 4.681 Ge
1.939 1.939 0.000 Ge
```

Output
**Uncorrected formation energy**: -0.37 eV/f.u.
**D(E_F)**: 0.705 states/eV per atom
**ΔE to the lowest computed polymorph**: 139 meV per atom

---

First-principles (PBE-GGA) data for a relaxed structure of NbZnHg, as listed in the Alexandria database.

POSCAR file:
```
NbZnHg
1.0
3.006 0.000 0.000
0.000 3.006 0.000
0.000 0.000 11.934
Nb Zn Hg
2 2 2
Cartesian
0.000 0.000 0.000 Nb
1.503 1.503 5.967 Nb
0.000 0.000 7.804 Zn
1.503 1.503 1.837 Zn
0.000 0.000 3.815 Hg
1.503 1.503 9.782 Hg
```

Output
**Calculated formation energy**: 0.119 eV/atom
**D(E_F)**: 0.655 states/eV per atom
**ΔE to the lowest computed polymorph**: 0 meV per atom

---

First-principles (PBE-GGA) data for a relaxed structure of PPdPbCl2, as listed in the Alexandria database.

POSCAR file:
```
PPdPbCl2
1.0
5.272 0.000 0.000
0.000 5.272 0.000
0.000 0.000 5.282
P Pd Pb Cl
1 1 1 2
Cartesian
0.000 0.000 0.000 P
2.636 2.636 0.000 Pd
0.000 0.000 2.641 Pb
0.000 2.636 2.641 Cl
2.636 0.000 2.641 Cl
```

Output
**Uncorrected formation energy**: 2.70 eV/f.u.
**D(E_F)**: 1.173 states/eV per atom
**ΔE to the lowest computed polymorph**: 618 meV per atom

---

D(E_F) of number 3 (PPdPbCl2)?
1.173 states/eV per atom

---

What did the first record say?
First-principles (PBE-GGA) data for a relaxed structure of Co2Si2Ge, as listed in the Alexandria database.

POSCAR file:
```
Co2Si2Ge
1.0
3.877 0.000 0.000
0.000 3.877 0.000
0.000 0.000 9.362
Co Si Ge
4 4 2
Cartesian
0.000 1.939 2.340 Co
0.000 1.939 7.021 Co
1.939 0.000 2.340 Co
1.939 0.000 7.021 Co
0.000 0.000 1.183 Si
0.000 0.000 8.179 Si
1.939 1.939 3.498 Si
1.939 1.939 5.864 Si
0.000 0.000 4.681 Ge
1.939 1.939 0.000 Ge
```

Output
**Uncorrected formation energy**: -0.37 eV/f.u.
**D(E_F)**: 0.705 states/eV per atom
**ΔE to the lowest computed polymorph**: 139 meV per atom

---

Which formula does entry 3 have?
PPdPbCl2

---

Among the records above, which one has the lowest D(E_F)?
NbZnHg